Entry 1:
## Sr4AuO6 (PBE-GGA)

Data for Sr4AuO6 after structural relaxation.

Results
**E_form (uncorrected)**: -2133 kJ/mol of formula units
**Magnetic moment**: 1.0 μB per formula unit

a b c (Å): 9.9628 9.9628 12.1097
angles (deg): 90.00 90.00 120.00
Space group R-3c (No. 167, hexagonal axes)
One atom of each set of equivalent atoms:
Sr (0.0000, 0.0000, 0.2500)
Sr (0.0000, 0.3691, 0.2500)
Au (0.0000, 0.0000, 0.0000)
O (0.0327, 0.1924, 0.3960)



Entry 2:
## SmY2ThP4 (PBE-GGA)

Data for SmY2ThP4 after structural relaxation.

Results
**Energy of formation**: -1.615 eV per atom
**Magnetic moment**: 0.0 μB per formula unit

a b c (Å): 7.035 4.078 7.053
angles (deg): 90.00 109.48 90.00
Space group P2/m (No. 10)
One atom of each set of equivalent atoms:
Sm (0.000, 0.000, 0.000)
Y (0.500, 0.000, 0.500)
Y (0.500, 0.500, 0.000)
Th (0.000, 0.500, 0.500)
P (0.255, 0.500, 0.252)
P (0.256, 0.000, 0.752)



Number 1: DOS(E_F) 4.63 states/eV/f.u.. Number 2: DOS(E_F) 1.55 states/eV/f.u..